Entry 1:
The following is a PBE-GGA calculation of a relaxed structure of PmTc2P, from Alexandria via LeMat-Bulk.

POSCAR file:
```
PmTc2P
1.0
2.102 1.214 5.327
-2.102 1.214 5.327
0.000 -2.427 5.327
Pm Tc P
1 2 1
direct
0.000 0.000 0.000 Pm
0.191 0.191 0.191 Tc
0.809 0.809 0.809 Tc
0.500 0.500 0.500 P
```

Summary:
For the total magnetic moment, the calculation gives 0.00 μB per formula unit. The mass density comes out at 7.6 g cm⁻³. For the formation energy, the calculation gives -0.231 eV/atom.


Entry 2:
The following is a PBE-GGA calculation of a relaxed structure of Pm4Te4P, from Alexandria via LeMat-Bulk.

POSCAR file:
```
Pm4Te4P
1.0
-3.737 3.737 6.427
3.737 -3.737 6.427
3.737 3.737 -6.427
Pm Te P
4 4 1
direct
0.081 0.671 0.000 Pm
0.329 0.329 0.410 Pm
0.671 0.081 0.000 Pm
0.919 0.919 0.590 Pm
0.000 0.500 0.500 Te
0.301 0.301 0.000 Te
0.500 0.000 0.500 Te
0.699 0.699 0.000 Te
0.000 0.000 0.000 P
```

Summary:
For the total magnetic moment, the calculation gives 0.00 μB per formula unit. The mass density comes out at 5.2 g cm⁻³. Its formation energy (no corrections) is -1.168 eV/atom.


Number 1: V 81.5 Å³ per cell. Number 2: V 359.1 Å³ per cell.